Entry 1:
# K4TlBr5

An optimized crystal structure of K4TlBr5 (PBE, Alexandria).

The uncorrected formation energy is -36.31 kcal/mol of atoms. As for the density of states at the Fermi level: 0.00 states/eV per cell.

The space group is I4 (No. 79) and the conventional cell measures 10.604, 10.604 and 6.701 Å, with angles of 90.00, 90.00 and 90.00 degrees. The inequivalent atoms are K at (0.102, 0.700, 0.000), Tl at (0.000, 0.000, 0.501), Br at (0.000, 0.000, 0.002) and Br at (0.101, 0.697, 0.500).

***

Entry 2:
# DyTmMgMn

An optimized crystal structure of DyTmMgMn (PBE, Alexandria).

The calculation puts the formation enthalpy at 0 K at 0.4 eV/f.u. As for the density of states at the Fermi level: 19.66 states/eV per cell.

The space group is F-43m (No. 216) and the conventional cell measures 7.272, 7.272 and 7.272 Å, with angles of 90.00, 90.00 and 90.00 degrees. The inequivalent atoms are Dy at (0.000, 0.000, 0.000), Tm at (0.000, 0.000, 0.500), Mg at (0.250, 0.250, 0.750) and Mn at (0.250, 0.250, 0.250).

***

Entry 3:
# TlZnMo

An optimized crystal structure of TlZnMo (PBE, Alexandria).

The calculation puts the formation enthalpy at 0 K at 1.7 eV/f.u. The value obtained for the relative energy among the computed polymorphs is 0.000 eV/atom. As for the density of states at the Fermi level: 1.65 states/eV per cell.

The space group is P3m1 (No. 156) and the conventional cell measures 3.0157, 3.0157 and 7.2057 Å, with angles of 90.00, 90.00 and 120.00 degrees. The inequivalent atoms are Tl at (0.0000, 0.0000, 0.0000), Zn at (0.6667, 0.3333, 0.3623) and Mo at (0.3333, 0.6667, 0.6542).

***

Entry 4:
# Tm2SbTe6

An optimized crystal structure of Tm2SbTe6 (PBE, Alexandria).

The uncorrected formation energy is -12.05 kcal/mol of atoms. As for the density of states at the Fermi level: 22.26 states/eV per cell.

The space group is P4_2/mnm (No. 136) and the conventional cell measures 7.094, 7.094 and 13.332 Å, with angles of 90.00, 90.00 and 90.00 degrees. The inequivalent atoms are Tm at (0.000, 0.000, 0.162), Sb at (0.000, 0.000, 0.500), Te at (0.199, 0.199, 0.329) and Te at (0.203, 0.203, 0.000).

***

Entry 5:
# ZrBiCl2

An optimized crystal structure of ZrBiCl2 (PBE, Alexandria).

The value obtained for the relative energy among the computed polymorphs is 0.200 eV/atom. The uncorrected formation energy is -23.18 kcal/mol of atoms. As for the density of states at the Fermi level: 7.23 states/eV per cell.

The space group is R-3m (No. 166, hexagonal axes) and the conventional cell measures 3.3145, 3.3145 and 34.8812 Å, with angles of 90.00, 90.00 and 120.00 degrees. The inequivalent atoms are Zr at (0.0000, 0.0000, 0.0000), Bi at (0.0000, 0.0000, 0.5000) and Cl at (0.0000, 0.0000, 0.3854).

***

Entry 6:
# La2CeAl9

An optimized crystal structure of La2CeAl9 (PBE, Alexandria).

The calculation puts the formation enthalpy at 0 K at -4.5 eV/f.u. As for the density of states at the Fermi level: 29.29 states/eV per cell.

The space group is R-3m (No. 166, hexagonal axes) and the conventional cell measures 5.6774, 5.6774 and 27.0057 Å, with angles of 90.00, 90.00 and 120.00 degrees. The inequivalent atoms are La at (0.0000, 0.0000, 0.1401), Ce at (0.0000, 0.0000, 0.0000), Al at (0.0000, 0.0000, 0.3346), Al at (0.0000, 0.0000, 0.5000) and Al at (0.0052, 0.5026, 0.9192).

***

Entry 7:
# CsSc3Hg

An optimized crystal structure of CsSc3Hg (PBE, Alexandria).

The calculation puts the formation enthalpy at 0 K at 6.8 eV/f.u. The value obtained for the relative energy among the computed polymorphs is 0.868 eV/atom. As for the density of states at the Fermi level: 5.89 states/eV per cell.

The space group is Pm-3m (No. 221) and the conventional cell measures 5.254, 5.254 and 5.254 Å, with angles of 90.00, 90.00 and 90.00 degrees. The inequivalent atoms are Cs at (0.000, 0.000, 0.000), Sc at (0.000, 0.000, 0.500) and Hg at (0.500, 0.500, 0.500).

***

Entry 8:
# KPtCl2

An optimized crystal structure of KPtCl2 (PBE, Alexandria).

The value obtained for the relative energy among the computed polymorphs is 0.395 eV/atom. The uncorrected formation energy is -9.35 kcal/mol of atoms. As for the density of states at the Fermi level: 3.37 states/eV per cell.

The space group is C2/m (No. 12) and the conventional cell measures 7.866, 7.629 and 3.492 Å, with angles of 90.00, 115.53 and 90.00 degrees. The inequivalent atoms are K at (0.000, 0.000, 0.000), Pt at (0.000, 0.500, 0.000) and Cl at (0.250, 0.250, 0.000).